[1]
DFT (GGA-PBE) results for a relaxed PrScAgAu crystal.

## Properties
The total energy is -19.078 eV for the cell shown. Its space group is F-43m, No. 216. As for the energy of formation from the pure elements: -177 kJ/mol of formula units. The density of states at the Fermi level comes out at 1.12 states/eV/atom.

Lattice parameters (Å, degrees): 5.1026 5.1026 5.1026 60.00 60.00 60.00
Last column: nearest neighbours and their distance in Å.
Fractional coordinates of all 4 atoms:
Pr1 0.0000 0.0000 0.0000  4 Ag 3.12, 4 Au 3.12
Au1 0.7500 0.7500 0.7500  4 Pr 3.12, 4 Sc 3.12
Sc1 0.5000 0.5000 0.5000  4 Ag 3.12, 4 Au 3.12
Ag1 0.2500 0.2500 0.2500  4 Pr 3.12, 4 Sc 3.12



[2]
DFT (GGA-PBE) results for a relaxed Ca3TlCu crystal.

## Properties
The total energy is -12.712 eV for the cell shown. Its space group is Pm-3m, No. 221. As for the energy of formation from the pure elements: -24 kJ/mol of formula units. The calculation puts the excess energy over the best structure of this formula in the dataset at 0.0000 eV/atom. The density of states at the Fermi level comes out at 1.09 states/eV/atom.

Lattice parameters (Å, degrees): 5.5316 5.5316 5.5316 90.00 90.00 90.00
Last column: nearest neighbours and their distance in Å.
Fractional coordinates of all 5 atoms:
Tl1 0.5000 0.5000 0.5000  12 Ca 3.91
Ca1 0.0000 0.0000 0.5000  2 Cu 2.77
Cu1 0.0000 0.0000 0.0000  6 Ca 2.77
Ca2 0.0000 0.5000 0.0000  2 Cu 2.77
Ca3 0.5000 0.0000 0.0000  2 Cu 2.77



[3]
DFT (GGA-PBE) results for a relaxed AcTiAs2 crystal.

## Properties
The total energy is -23.986 eV for the cell shown. Its space group is P4/mmm, No. 123. As for the energy of formation from the pure elements: -259 kJ/mol of formula units. The calculation puts the excess energy over the best structure of this formula in the dataset at 0.3642 eV/atom. The density of states at the Fermi level comes out at 0.66 states/eV/atom.

Lattice parameters (Å, degrees): 3.5035 3.5035 7.2306 90.00 90.00 90.00
Last column: nearest neighbours and their distance in Å.
Fractional coordinates of all 4 atoms:
Ac1 0.5000 0.5000 0.5000  8 As 3.30, 4 Ac 3.50, 2 Ti 3.62
Ti1 0.5000 0.5000 0.0000  8 As 2.86
As1 0.0000 0.0000 0.8012  4 Ti 2.86, 1 As 2.87
As2 0.0000 0.0000 0.1988  4 Ti 2.86, 1 As 2.87